This record from Alexandria via LeMat-Bulk describes a geometry-optimized LaBeW2 structure. The functional is PBE.

a b c (Å): 4.432 4.432 6.110
angles (deg): 79.07 79.07 42.82
Sites, in units of the cell vectors:
Be (0.512, 0.512, 0.391)
W (0.977, 0.977, 0.100)
W (0.233, 0.233, 0.273)
La (0.778, 0.778, 0.736)

## Properties
Energy of formation ... 512.0 meV per atom
Spin magnetization ... 0.00 μB/cell
Crystal system ... monoclinic

This record from Alexandria via LeMat-Bulk describes a geometry-optimized Ho2TeO2 structure. The functional is PBE.

a b c (Å): 3.917 3.917 6.818
angles (deg): 106.69 106.69 90.00
Sites, in units of the cell vectors:
Te (0.000, 0.000, 0.000)
Ho (0.663, 0.663, 0.326)
Ho (0.337, 0.337, 0.674)
O (0.250, 0.750, 0.500)
O (0.750, 0.250, 0.500)

## Properties
Formation energy (no corrections) ... -2.974 eV per atom
Spin magnetization ... 0.00 μB/cell
Crystal system ... tetragonal

This record from Alexandria via LeMat-Bulk describes a geometry-optimized Y2Ho3Tm6Zr structure. The functional is PBE.

a b c (Å): 6.031 6.031 11.522
angles (deg): 94.99 94.99 119.92
Sites, in units of the cell vectors:
Y (0.333, 0.667, 0.000)
Y (0.667, 0.333, 0.000)
Ho (0.167, 0.833, 0.500)
Ho (0.833, 0.167, 0.500)
Ho (0.500, 0.500, 0.500)
Tm (0.918, 0.592, 0.754)
Tm (0.756, 0.756, 0.246)
Tm (0.082, 0.408, 0.246)
Tm (0.592, 0.918, 0.754)
Tm (0.244, 0.244, 0.754)
Tm (0.408, 0.082, 0.246)
Zr (0.000, 0.000, 0.000)

## Properties
Energy of formation ... 45.9 meV per atom
Spin magnetization ... 0.00 μB/cell
Crystal system ... monoclinic

What did the third record say?
This record from Alexandria via LeMat-Bulk describes a geometry-optimized Y2Ho3Tm6Zr structure. The functional is PBE.

a b c (Å): 6.031 6.031 11.522
angles (deg): 94.99 94.99 119.92
Sites, in units of the cell vectors:
Y (0.333, 0.667, 0.000)
Y (0.667, 0.333, 0.000)
Ho (0.167, 0.833, 0.500)
Ho (0.833, 0.167, 0.500)
Ho (0.500, 0.500, 0.500)
Tm (0.918, 0.592, 0.754)
Tm (0.756, 0.756, 0.246)
Tm (0.082, 0.408, 0.246)
Tm (0.592, 0.918, 0.754)
Tm (0.244, 0.244, 0.754)
Tm (0.408, 0.082, 0.246)
Zr (0.000, 0.000, 0.000)

## Properties
Energy of formation ... 45.9 meV per atom
Spin magnetization ... 0.00 μB/cell
Crystal system ... monoclinic

Look up the spin magnetization of the first one.
0.00 μB/cell

Which value of spin magnetization does entry 3 give?
0.00 μB/cell